Below is an optimized crystal structure of LiCoPO4F, with properties calculated at the PBE with a Hubbard U level.

Computed properties:
distance to the lowest polymorph of the same formula	0	meV/atom

abc: 5.1607 5.3395 7.3564
angles: 105.63 109.53 98.62
Fractional coordinates of all 16 atoms:
F1 0.8636 0.0658 0.7319
Co1 0.0000 0.0000 0.5000
P1 0.3199 0.6455 0.7667
O1 0.3634 0.2270 0.0769
O2 0.6366 0.7730 0.9231
O3 0.2433 0.8009 0.6156
P2 0.6801 0.3545 0.2333
Li1 0.7366 0.3798 0.8099
O4 0.8764 0.3426 0.1116
O5 0.1236 0.6574 0.8884
O6 0.6829 0.6467 0.3404
Li2 0.2634 0.6202 0.1901
O7 0.3171 0.3533 0.6596
O8 0.7567 0.1991 0.3844
F2 0.1364 0.9342 0.2681
Co2 0.0000 0.0000 0.0000